No. 1
DFT (GGA-PBE) results for a relaxed BeZnPt crystal.

Summary:
* excess energy over the best structure of this formula in the dataset: 0.304 eV/atom
* formation energy: -5.0 kcal/mol of atoms

Cell: 4.042 4.042 4.042 Å, 60.00 60.00 60.00°
Atoms (fractional coordinates):
Be (0.500, 0.500, 0.500)
Zn (0.000, 0.000, 0.000)
Pt (0.750, 0.750, 0.750)



No. 2
DFT (GGA-PBE) results for a relaxed Be2ZnPt crystal.

Summary:
* formation energy: -6.5 kcal/mol of atoms

Cell: 2.853 2.853 5.687 Å, 90.00 90.00 90.00°
Atoms (fractional coordinates):
Zn (0.500, 0.500, 0.786)
Be (0.000, 0.000, 0.032)
Be (0.500, 0.500, 0.231)
Pt (0.000, 0.000, 0.450)



No. 3
DFT (GGA-PBE) results for a relaxed BeZn2Pt2 crystal.

Summary:
* excess energy over the best structure of this formula in the dataset: 0.292 eV/atom
* formation energy: -4.0 kcal/mol of atoms

Cell: 7.210 7.210 2.852 Å, 90.00 90.00 90.00°
Atoms (fractional coordinates):
Be (0.000, 0.000, 0.000)
Be (0.500, 0.500, 0.000)
Zn (0.125, 0.375, 0.000)
Zn (0.875, 0.625, 0.000)
Zn (0.625, 0.125, 0.000)
Zn (0.375, 0.875, 0.000)
Pt (0.174, 0.674, 0.500)
Pt (0.326, 0.174, 0.500)
Pt (0.826, 0.326, 0.500)
Pt (0.674, 0.826, 0.500)